VASP calculation (PBE) on ScTa2Tl3O9 after structural relaxation.

The density of states at the Fermi level comes out at 0.461 states/eV per atom. The crystal system is trigonal. The density is 9.4 g/cm³. The total energy is -113.00 eV/f.u. For the uncorrected formation energy, the calculation gives -2082 meV/atom.

It has space group P-3m1 (No. 164), with a = 5.7878 Å, b = 5.7878 Å, c = 7.1190 Å, α = 90.00°, β = 90.00° and γ = 120.00°. The distinct sites, in fractional coordinates, are Sc at (0.0000, 0.0000, 0.0000), Ta at (0.3333, 0.6667, 0.6711), Tl at (0.0000, 0.0000, 0.5000), Tl at (0.3333, 0.6667, 0.1654), O at (0.0000, 0.5000, 0.5000) and O at (0.1708, 0.3416, 0.8242).

=====

VASP calculation (PBE) on TlAg after structural relaxation.

The density of states at the Fermi level comes out at 0.834 states/eV per atom. The crystal system is cubic. The formation energy is 244 meV/atom. The density is 9.9 g/cm³. The total energy is -4.73 eV/f.u.

It has space group Fm-3m (No. 225), with a = 5.932 Å, b = 5.932 Å, c = 5.932 Å, α = 90.00°, β = 90.00° and γ = 90.00°. The distinct sites, in fractional coordinates, are Tl at (0.000, 0.000, 0.000) and Ag at (0.000, 0.000, 0.500).

=====

VASP calculation (PBE) on InIrI2N after structural relaxation.

The density of states at the Fermi level comes out at 0.300 states/eV per atom. The crystal system is tetragonal. The calculation puts the energy above the most stable polymorph in this dataset at 0.000 eV per formula unit. The density is 7.4 g/cm³. The total energy is -22.03 eV/f.u. For the uncorrected formation energy, the calculation gives 198 meV/atom.

It has space group P4/mmm (No. 123), with a = 5.849 Å, b = 5.849 Å, c = 3.749 Å, α = 90.00°, β = 90.00° and γ = 90.00°. The distinct sites, in fractional coordinates, are In at (0.000, 0.000, 0.000), Ir at (0.500, 0.500, 0.500), I at (0.000, 0.500, 0.500) and N at (0.500, 0.500, 0.000).

=====

VASP calculation (PBE) on AlCr2Os after structural relaxation.

The density of states at the Fermi level comes out at 0.751 states/eV per atom. The crystal system is orthorhombic. The formation energy is -132 meV/atom. The density is 10.3 g/cm³. The total energy is -34.75 eV/f.u.

It has space group Imm2 (No. 44), with a = 2.973 Å, b = 4.239 Å, c = 8.200 Å, α = 90.00°, β = 90.00° and γ = 90.00°. The distinct sites, in fractional coordinates, are Al at (0.000, 0.000, 0.000), Cr at (0.000, 0.000, 0.515), Cr at (0.000, 0.500, 0.239) and Os at (0.000, 0.500, 0.763).

=====

VASP calculation (PBE) on Cd2SiSnF after structural relaxation.

The density of states at the Fermi level comes out at 0.397 states/eV per atom. The crystal system is tetragonal. The density is 5.8 g/cm³. The total energy is -13.51 eV/f.u. For the uncorrected formation energy, the calculation gives -76 meV/atom.

It has space group P4/mmm (No. 123), with a = 4.813 Å, b = 4.813 Å, c = 4.861 Å, α = 90.00°, β = 90.00° and γ = 90.00°. The distinct sites, in fractional coordinates, are Cd at (0.000, 0.500, 0.000), Si at (0.000, 0.000, 0.500), Sn at (0.500, 0.500, 0.500) and F at (0.500, 0.500, 0.000).

=====

VASP calculation (PBE) on ScInHg after structural relaxation.

The density of states at the Fermi level comes out at 0.818 states/eV per atom. The crystal system is monoclinic. The formation energy is -280 meV/atom. The calculation puts the energy above the most stable polymorph in this dataset at 0.121 eV per formula unit. The density is 8.8 g/cm³. The total energy is -10.21 eV/f.u.

It has space group C2/m (No. 12), with a = 10.754 Å, b = 4.813 Å, c = 6.688 Å, α = 90.00°, β = 128.22° and γ = 90.00°. The distinct sites, in fractional coordinates, are Sc at (0.006, 0.000, 0.258), In at (0.168, 0.500, 0.137) and Hg at (0.166, 0.500, 0.626).

=====

VASP calculation (PBE) on TlPNCl2 after structural relaxation.

The density of states at the Fermi level comes out at 0.387 states/eV per atom. The crystal system is tetragonal. The calculation puts the energy above the most stable polymorph in this dataset at 4.650 eV per formula unit. The density is 3.4 g/cm³. The total energy is -13.75 eV/f.u. For the uncorrected formation energy, the calculation gives 1208 meV/atom.

It has space group P4/mmm (No. 123), with a = 5.381 Å, b = 5.381 Å, c = 5.414 Å, α = 90.00°, β = 90.00° and γ = 90.00°. The distinct sites, in fractional coordinates, are Tl at (0.000, 0.000, 0.000), P at (0.000, 0.000, 0.500), N at (0.500, 0.500, 0.500) and Cl at (0.000, 0.500, 0.000).

=====

VASP calculation (PBE) on LaTbPdRh after structural relaxation.

The density of states at the Fermi level comes out at 0.756 states/eV per atom. The crystal system is cubic. The formation energy is -765 meV/atom. The calculation puts the energy above the most stable polymorph in this dataset at 0.247 eV per formula unit. The density is 9.3 g/cm³. The total energy is -25.16 eV/f.u.

It has space group F-43m (No. 216), with a = 7.120 Å, b = 7.120 Å, c = 7.120 Å, α = 90.00°, β = 90.00° and γ = 90.00°. The distinct sites, in fractional coordinates, are La at (0.000, 0.000, 0.000), Tb at (0.000, 0.000, 0.500), Pd at (0.250, 0.250, 0.250) and Rh at (0.250, 0.250, 0.750).